Density functional theory data (PBE) for Cs2MnCo after structural relaxation.

Summary:
As for the energy relative to the elements: 1.49 eV per atom. As for the density: 5.05 g/cm³.

```
Cs2MnCo
1.0
-0.732 -5.559 -0.136
-2.071 -2.666 4.478
-5.180 -2.143 -0.160
Mn Cs Co
1 2 1
direct
0.000 0.000 0.000 Mn
0.750 0.750 0.750 Cs
0.250 0.250 0.250 Cs
0.500 0.500 0.500 Co
```